#A
TaVSi2 | Alexandria | PBE | optimized geometry; symmetry = I-42d (122); magnetic moment = 0.0 μB per formula unit
1.0
-2.988 -2.137 -0.630
1.787 -2.928 1.457
-3.841 -0.424 8.627
Si V Ta
4 2 2
Cartesian
-3.971 -4.684 7.161
-0.284 -2.252 2.974
-3.290 -2.284 6.813
-2.537 -1.759 1.959
-0.600 -2.533 0.414
-1.327 -2.943 5.249
0.000 0.000 0.000
-3.714 -2.547 4.205

***

#B
TaVSi2 | Alexandria | PBE | optimized geometry; symmetry = R-3m (166); magnetic moment = 0.0 μB per formula unit
1.0
3.588 0.000 0.000
1.794 3.107 0.000
1.794 1.036 5.670
Si Ta V
2 1 1
Cartesian
1.794 1.036 1.306
5.382 3.107 4.364
3.588 2.072 2.835
0.000 0.000 0.000

***

Result of the stability comparison: #A is the least stable of them.

***

#A
TaVSi2 | Alexandria | PBE | optimized geometry; symmetry = P4/mmm (123); magnetic moment = 0.7 μB per formula unit
1.0
2.830 0.000 0.000
0.000 2.830 0.000
0.000 0.000 7.151
Si V Ta
2 1 1
Cartesian
0.000 0.000 1.634
0.000 0.000 5.517
1.415 1.415 0.000
1.415 1.415 3.576

***

#B
TaVSi2 | Alexandria | PBE | optimized geometry; symmetry = Fm-3m (225); magnetic moment = 0.3 μB per formula unit
1.0
0.000 3.079 3.079
3.079 0.000 3.079
3.079 3.079 0.000
V Si Ta
1 2 1
Cartesian
0.000 0.000 0.000
4.618 4.618 4.618
1.539 1.539 1.539
3.079 3.079 3.079

***

Result of the stability comparison: #B is the least stable of them.